The following is a GGA+U calculation of a relaxed structure of CrAg2TeO6, from Alexandria via LeMat-Bulk.

```
10
Lattice="-0.496 2.136 4.409 -2.401 -4.438 1.880 4.790 -1.960 1.489" Properties=species:S:1:pos:R:3 pbc="T T T"
Cr 0.909 -1.972 4.217
Ag -1.219 -2.139 1.106
Ag 2.376 -0.900 0.910
Te -0.298 1.284 2.651
O 0.307 -0.271 3.928
O 2.504 -1.170 4.611
O 1.075 -2.684 2.748
O -0.108 0.465 0.961
O 1.403 -3.205 5.473
O -0.794 -2.307 4.790
```

Values from the calculation:
Crystal system: tetragonal
Space-group type: No. 99


The following is a GGA+U calculation of a relaxed structure of ThCr2AgO8, from Alexandria via LeMat-Bulk.

```
12
Lattice="-3.901 4.392 -0.855 0.469 -2.556 5.337 4.660 4.476 1.734" Properties=species:S:1:pos:R:3 pbc="T T T"
Th 0.000 0.000 0.000
Cr -1.040 3.425 1.732
Cr 2.268 2.887 4.485
Ag 2.330 2.238 0.867
O -2.133 4.143 0.601
O -1.910 2.926 3.141
O -0.277 2.053 1.007
O 1.505 4.259 5.209
O 1.144 1.807 4.066
O 0.085 4.505 2.150
O 3.362 2.169 5.616
O 3.138 3.385 3.076
```

Values from the calculation:
DOS(E_F) (states/eV/atom): 0.47
Crystal system: trigonal
Space-group type: No. 164


The following is a GGA+U calculation of a relaxed structure of Tl3Cr2AgO8, from Alexandria via LeMat-Bulk.

```
14
Lattice="5.980 0.000 0.000 -2.990 5.179 0.000 0.000 0.000 7.833" Properties=species:S:1:pos:R:3 pbc="T T T"
Tl 0.000 3.453 5.265
Tl 2.990 1.726 2.568
Tl 0.000 0.000 0.000
Cr 0.000 3.453 1.701
Cr 2.990 1.726 6.132
Ag 0.000 0.000 3.917
O 0.000 3.453 0.049
O 2.990 1.726 7.785
O -1.372 4.245 2.269
O 4.362 0.934 5.564
O 0.000 1.869 2.269
O 2.990 3.311 5.564
O 1.372 4.245 2.269
O 1.618 0.934 5.564
```

Values from the calculation:
DOS(E_F) (states/eV/atom): 0.00
Crystal system: trigonal
Space-group type: No. 164


The following is a GGA+U calculation of a relaxed structure of Tl3Cr4AgO14, from Alexandria via LeMat-Bulk.

```
44
Lattice="-2.767 -2.309 6.628 6.893 -2.469 1.820 1.307 13.650 2.173" Properties=species:S:1:pos:R:3 pbc="T T T"
Tl 4.819 4.104 4.892
Tl 3.673 -2.119 2.795
Tl 0.614 4.768 5.730
Tl 1.760 10.991 7.826
Tl -1.969 1.096 6.937
Tl 7.402 7.777 3.685
Cr 2.210 6.527 2.641
Cr 5.139 9.150 8.438
Cr 3.223 2.346 7.981
Cr 0.294 -0.278 2.183
Cr 3.972 2.003 1.818
Cr 5.670 -0.036 5.297
Cr 1.461 6.870 8.803
Cr -0.237 8.908 5.325
Ag 1.894 1.032 5.014
Ag 3.539 7.841 5.607
O 2.868 8.042 1.933
O 6.059 7.609 8.361
O 2.565 0.830 8.688
O -0.627 1.264 2.261
O 2.901 6.236 4.126
O 4.379 9.442 6.988
O 2.532 2.636 6.496
O 1.054 -0.569 3.633
O 2.521 5.295 1.623
O 4.864 -3.290 6.616
O 2.912 3.578 8.999
O 0.569 12.163 4.006
O 0.602 6.699 2.828
O 4.016 9.023 9.611
O 4.831 2.173 7.794
O 1.417 -0.150 1.011
O 0.582 -0.014 6.943
O -0.407 2.137 4.884
O 4.851 8.886 3.679
O 5.840 6.736 5.737
O 2.845 2.220 2.991
O 4.050 -0.208 5.492
O 2.588 6.652 7.631
O 1.383 9.081 5.130
O 4.550 0.475 1.850
O 6.033 1.476 4.797
O 0.883 8.397 8.771
O -0.600 7.396 5.825
```

Values from the calculation:
DOS(E_F) (states/eV/atom): 0.00
Crystal system: monoclinic
Space-group type: No. 15


The following is a GGA+U calculation of a relaxed structure of TlCr2AgO8, from Alexandria via LeMat-Bulk.

```
12
Lattice="5.743 0.000 0.000 -2.871 4.973 0.000 0.000 0.000 6.742" Properties=species:S:1:pos:R:3 pbc="T T T"
Tl 0.000 0.000 3.371
Cr 2.871 1.658 1.396
Cr 0.000 3.315 5.345
Ag 0.000 0.000 0.000
O 0.000 3.315 0.210
O 1.436 0.913 1.902
O 4.234 0.787 1.902
O 2.871 1.658 6.531
O -1.362 4.187 4.840
O 1.436 4.060 4.840
O -0.073 1.700 4.840
O 2.945 3.273 1.902
```

Values from the calculation:
Crystal system: trigonal
Space-group type: No. 147


The following is a GGA+U calculation of a relaxed structure of Tm3CrAg3O8, from Alexandria via LeMat-Bulk.

```
15
Lattice="6.719 0.000 0.000 -3.360 5.521 -1.518 0.000 -5.029 7.866" Properties=species:S:1:pos:R:3 pbc="T T T"
Tm 3.360 -2.514 3.933
Tm 1.680 0.246 3.174
Tm -1.680 0.246 3.174
Cr 0.000 -2.514 3.933
Ag 0.000 0.000 0.000
Ag -1.680 2.761 -0.759
Ag 1.680 2.761 -0.759
O 0.000 0.878 1.910
O 3.360 -0.385 4.439
O 3.360 1.154 1.971
O 0.000 -0.661 4.377
O 1.791 3.561 1.174
O 1.569 -3.069 5.175
O -1.791 3.561 1.174
O 5.150 -3.069 5.175
```

Values from the calculation:
Crystal system: monoclinic
Space-group type: No. 12


The following is a GGA+U calculation of a relaxed structure of Tm2CrAg2O6, from Alexandria via LeMat-Bulk.

```
11
Lattice="5.662 -0.168 0.786 -2.945 4.839 0.786 -0.274 -0.471 6.383" Properties=species:S:1:pos:R:3 pbc="T T T"
Tm -0.187 2.919 3.977
Tm 2.630 1.280 3.977
Cr -0.137 -0.236 3.192
Ag 4.348 0.596 0.786
Ag -1.631 4.074 0.786
O 1.652 2.839 5.199
O 4.449 0.800 5.218
O 0.791 1.360 2.755
O -1.504 4.263 5.218
O -2.007 3.399 2.736
O 3.946 -0.064 2.736
```

Values from the calculation:
Crystal system: monoclinic
Space-group type: No. 12


The following is a GGA+U calculation of a relaxed structure of TmCr2AgO8, from Alexandria via LeMat-Bulk.

```
12
Lattice="5.981 -0.014 0.000 -2.666 5.354 0.000 -1.658 -2.670 5.089" Properties=species:S:1:pos:R:3 pbc="T T T"
Tm -1.333 2.677 2.544
Cr 2.991 -0.007 2.544
Cr 1.658 2.670 0.000
Ag 0.000 0.000 0.000
O 1.651 -0.448 1.639
O 0.332 2.388 0.978
O 0.335 -1.314 4.111
O 3.189 -1.404 3.450
O 2.984 2.952 0.978
O 4.330 0.434 1.639
O 2.792 1.389 3.450
O -0.335 1.314 4.111
```

Values from the calculation:
Crystal system: tetragonal
Space-group type: No. 119


Record-wise total magnetic moment values, in μB per cell: 0.000; 1.000; 0.000; 0.000; 0.000; 2.006; 1.983; 0.000
Record-wise total DFT energy (no corrections) values, in eV/atom: -5.217; -7.050; -5.654; -6.049; -5.850; -6.703; -6.763; -6.740